Compound: NiOF2
Source: Alexandria via LeMat-Bulk
Functional: GGA+U
Structure: relaxed

The theoretical density comes out at 2.8 g cm⁻³. For the density of states at the Fermi level, the calculation gives 22.20 states/eV/cell. As for the symmetry: I-42d, No. 122. The value obtained for the total energy is -3.39 eV per atom. The energy relative to the lowest polymorph listed for this composition comes out at 997.3 meV/atom.

Cell: 6.422 6.422 6.422 Å, 133.75 133.75 67.48°
Element x y z (fractional)
Ni1 0.000 0.000 0.000
Ni2 0.750 0.250 0.500
O1 0.250 0.750 0.500
O2 0.500 0.500 0.000
F1 0.375 0.233 0.358
F2 0.767 0.125 0.142
F3 0.875 0.017 0.642
F4 0.983 0.625 0.858